1.
# PuAgTe2O8 (PBE, optimized geometry)
# ΔE_f (raw)   -14.075 eV per formula unit
# Symmetry   P-3
# Spin magnetization   1.0 μB/cell
data_PuAgTe2O8
_symmetry_space_group_name_H-M 'P 1'
_symmetry_Int_Tables_number 1
_cell_length_a 6.4985
_cell_length_b 6.4985
_cell_length_c 6.2643
_cell_angle_alpha 90.00
_cell_angle_beta 90.00
_cell_angle_gamma 120.00
loop_
_symmetry_equiv_pos_as_xyz
'x,y,z'
loop_
_atom_site_label
_atom_site_type_symbol
_atom_site_fract_x
_atom_site_fract_y
_atom_site_fract_z
Pu1 Pu 0.0000 0.0000 0.0000
Ag1 Ag 0.0000 0.0000 0.5000
Te1 Te 0.3333 0.6667 0.2295
Te2 Te 0.6667 0.3333 0.7705
O1 O 0.1409 0.2907 0.1947
O2 O 0.1498 0.8591 0.1947
O3 O 0.2907 0.1498 0.8053
O4 O 0.3333 0.6667 0.5174
O5 O 0.6667 0.3333 0.4826
O6 O 0.7093 0.8502 0.1947
O7 O 0.8502 0.1409 0.8053
O8 O 0.8591 0.7093 0.8053



2.
# PuThAg2O6 (PBE, optimized geometry)
# ΔE_f (raw)   -20.007 eV per formula unit
# Symmetry   P4mm
# Spin magnetization   2.0 μB/cell
data_PuThAg2O6
_symmetry_space_group_name_H-M 'P 1'
_symmetry_Int_Tables_number 1
_cell_length_a 6.2431
_cell_length_b 6.2431
_cell_length_c 4.3476
_cell_angle_alpha 90.00
_cell_angle_beta 90.00
_cell_angle_gamma 90.00
loop_
_symmetry_equiv_pos_as_xyz
'x,y,z'
loop_
_atom_site_label
_atom_site_type_symbol
_atom_site_fract_x
_atom_site_fract_y
_atom_site_fract_z
Pu1 Pu 0.0000 0.0000 0.0000
Th1 Th 0.5000 0.5000 0.9562
Ag1 Ag 0.0000 0.5000 0.2958
Ag2 Ag 0.5000 0.0000 0.2958
O1 O 0.0000 0.0000 0.5011
O2 O 0.2330 0.2330 0.0118
O3 O 0.2330 0.7670 0.0118
O4 O 0.5000 0.5000 0.4608
O5 O 0.7670 0.2330 0.0118
O6 O 0.7670 0.7670 0.0118



3.
# PuTiAgO6 (PBE, optimized geometry)
# ΔE_f (raw)   -18.931 eV per formula unit
# Symmetry   P-31c
# Spin magnetization   1.9 μB/cell
data_PuTiAgO6
_symmetry_space_group_name_H-M 'P 1'
_symmetry_Int_Tables_number 1
_cell_length_a 5.3790
_cell_length_b 5.3790
_cell_length_c 9.9329
_cell_angle_alpha 90.00
_cell_angle_beta 90.00
_cell_angle_gamma 120.00
loop_
_symmetry_equiv_pos_as_xyz
'x,y,z'
loop_
_atom_site_label
_atom_site_type_symbol
_atom_site_fract_x
_atom_site_fract_y
_atom_site_fract_z
Pu1 Pu 0.3333 0.6667 0.2500
Pu2 Pu 0.6667 0.3333 0.7500
Ti1 Ti 0.3333 0.6667 0.7500
Ti2 Ti 0.6667 0.3333 0.2500
Ag1 Ag 0.0000 0.0000 0.0000
Ag2 Ag 0.0000 0.0000 0.5000
O1 O 0.0050 0.3721 0.6436
O2 O 0.0050 0.6329 0.8564
O3 O 0.3671 0.3721 0.8564
O4 O 0.3671 0.9950 0.6436
O5 O 0.3721 0.0050 0.1436
O6 O 0.3721 0.3671 0.3564
O7 O 0.6279 0.6329 0.6436
O8 O 0.6279 0.9950 0.8564
O9 O 0.6329 0.0050 0.3564
O10 O 0.6329 0.6279 0.1436
O11 O 0.9950 0.3671 0.1436
O12 O 0.9950 0.6279 0.3564



The lowest ΔE_f (raw) belongs to which entry?
PuThAg2O6



Among the records above, which one has the lowest spin magnetization?
PuAgTe2O8



Look up the ΔE_f (raw) of the second one.
-20.007 eV per formula unit



The highest ΔE_f (raw) belongs to which entry?
PuAgTe2O8